Entry from Alexandria via LeMat-Bulk: a geometry-optimized HoPu2Th structure (PBE-GGA).

Energy above the most stable polymorph in this dataset, eV/f.u.: 0.27
VASP energy, eV per cell: -158.9
Mass density, g cm⁻³: 12.59
DFT formation energy, eV/f.u.: 0.93

Cell lengths 7.7569, 7.7569, 7.7569 Å; angles 90.00, 90.00, 90.00 degrees
Last column: nearest neighbours and their distance in Å.
Space group Fm-3m (No. 225)
One atom of each set of equivalent atoms:
Ho1 0.0000 0.0000 0.0000 x4  8 Pu 3.36
Pu1 0.2500 0.2500 0.2500 x8  4 Th 3.36, 4 Ho 3.36
Th1 0.0000 0.0000 0.5000 x4  8 Pu 3.36